1.
# Tb12Os5C15 (PBE-GGA, relaxed)
data_Tb12Os5C15
_chemical_formula_sum 'Tb12 Os5 C15'
_cell_length_a 10.754
_cell_length_b 10.754
_cell_length_c 5.116
_cell_angle_alpha 90.00
_cell_angle_beta 90.00
_cell_angle_gamma 120.00
_space_group_name_H-M_alt 'P 1'
_space_group_IT_number 1
loop_
_space_group_symop_operation_xyz
'x,y,z'
loop_
_atom_site_label
_atom_site_fract_x
_atom_site_fract_y
_atom_site_fract_z
Tb1 0.435 0.000 0.500
Tb2 0.207 0.207 0.500
Tb3 0.544 0.817 0.000
Tb4 0.272 0.456 0.000
Tb5 0.456 0.272 0.000
Tb6 0.728 0.183 0.000
Tb7 0.000 0.793 0.500
Tb8 0.817 0.544 0.000
Tb9 0.793 0.000 0.500
Tb10 0.183 0.728 0.000
Tb11 0.000 0.435 0.500
Tb12 0.565 0.565 0.500
Os1 0.161 0.000 0.000
Os2 0.000 0.161 0.000
Os3 0.839 0.839 0.000
Os4 0.667 0.333 0.500
Os5 0.333 0.667 0.500
C1 0.540 0.540 0.000
C2 0.000 0.460 0.000
C3 0.285 0.469 0.500
C4 0.000 0.335 0.000
C5 0.000 0.793 0.000
C6 0.531 0.816 0.500
C7 0.793 0.000 0.000
C8 0.335 0.000 0.000
C9 0.665 0.665 0.000
C10 0.184 0.715 0.500
C11 0.816 0.531 0.500
C12 0.715 0.184 0.500
C13 0.460 0.000 0.000
C14 0.207 0.207 0.000
C15 0.469 0.285 0.500
# V: 16.01 A^3/atom
# ΔH_f (0 K): -0.343 eV per atom
# space-group type: P-62m

=====

2.
# La12InCo5 (PBE-GGA, relaxed)
data_La12InCo5
_chemical_formula_sum 'La12 In1 Co5'
_cell_length_a 8.720
_cell_length_b 8.720
_cell_length_c 8.720
_cell_angle_alpha 107.40
_cell_angle_beta 111.66
_cell_angle_gamma 109.38
_space_group_name_H-M_alt 'P 1'
_space_group_IT_number 1
loop_
_space_group_symop_operation_xyz
'x,y,z'
loop_
_atom_site_label
_atom_site_fract_x
_atom_site_fract_y
_atom_site_fract_z
La1 0.185 0.990 0.805
La2 0.815 0.010 0.195
La3 0.866 0.176 0.690
La4 0.487 0.176 0.310
La5 0.685 0.671 0.356
La6 0.185 0.380 0.195
La7 0.134 0.824 0.310
La8 0.815 0.620 0.805
La9 0.513 0.824 0.690
La10 0.315 0.671 0.986
La11 0.315 0.329 0.644
La12 0.685 0.329 0.014
Co1 0.356 0.356 0.000
Co2 0.000 0.000 0.000
Co3 0.500 0.869 0.369
Co4 0.644 0.644 0.000
Co5 0.500 0.131 0.631
In1 0.000 0.500 0.500
# V: 28.32 A^3/atom
# ΔH_f (0 K): -0.177 eV per atom
# space-group type: Immm

=====

V of number 1 (Tb12Os5C15)? 16.01 A^3/atom

=====

V of number 2 (La12InCo5)? 28.32 A^3/atom